CrRuPt3 after structural relaxation, computed with PBE.

Energy relative to the elements   1.340 eV/atom
Energy relative to the lowest polymorph listed for this composition   36 meV per atom
Crystal system   cubic
Magnetization   4.17 Bohr magnetons per cell

extended XYZ file:
```
5
Lattice="4.7810 0.0000 0.0000 0.0000 4.7810 0.0000 0.0000 0.0000 4.7810" Properties=species:S:1:pos:R:3 pbc="T T T"
Ru 0.0000 0.0000 0.0000
Pt 0.0000 2.3905 0.0000
Pt 0.0000 0.0000 2.3905
Pt 2.3905 0.0000 0.0000
Cr 2.3905 2.3905 2.3905
```